Entry 1:
CaScCoI2 | PBE | relaxed

## Properties
SG = No. 123
magnetization = 0.3 μB per formula unit
E_form (uncorrected) = -0.4 eV per formula unit
total energy = -3.789 eV/atom

Geometry as CIF:
```
data_CaScCoI2
_cell_length_a 5.700
_cell_length_b 5.700
_cell_length_c 4.597
_cell_angle_alpha 90.00
_cell_angle_beta 90.00
_cell_angle_gamma 90.00
_space_group_name_H-M_alt 'P 1'
_space_group_IT_number 1
_space_group_name_Hall 'P 1'
loop_
_atom_site_label
_atom_site_type_symbol
_atom_site_fract_x
_atom_site_fract_y
_atom_site_fract_z
Ca1 Ca 0.000 0.000 0.000
Sc1 Sc 0.500 0.500 0.500
Co1 Co 0.500 0.500 0.000
I1 I 0.000 0.500 0.500
I2 I 0.500 0.000 0.500
```

---

Entry 2:
Ca2CoWI | PBE | relaxed

## Properties
SG = No. 123
magnetization = 3.3 μB per formula unit
E_form (uncorrected) = 7.5 eV per formula unit
total energy = -3.619 eV/atom

Geometry as CIF:
```
data_Ca2CoWI
_cell_length_a 5.741
_cell_length_b 5.741
_cell_length_c 4.938
_cell_angle_alpha 90.00
_cell_angle_beta 90.00
_cell_angle_gamma 90.00
_space_group_name_H-M_alt 'P 1'
_space_group_IT_number 1
_space_group_name_Hall 'P 1'
loop_
_atom_site_label
_atom_site_type_symbol
_atom_site_fract_x
_atom_site_fract_y
_atom_site_fract_z
Ca1 Ca 0.000 0.500 0.000
Ca2 Ca 0.500 0.000 0.000
Co1 Co 0.000 0.000 0.500
W1 W 0.500 0.500 0.500
I1 I 0.500 0.500 0.000
```

---

Entry 3:
Ca4InCo | PBE | relaxed

## Properties
SG = No. 216
magnetization = 0.9 μB per formula unit
total energy = -2.306 eV/atom

Geometry as CIF:
```
data_Ca4InCo
_cell_length_a 6.438
_cell_length_b 6.438
_cell_length_c 6.438
_cell_angle_alpha 60.00
_cell_angle_beta 60.00
_cell_angle_gamma 60.00
_space_group_name_H-M_alt 'P 1'
_space_group_IT_number 1
_space_group_name_Hall 'P 1'
loop_
_atom_site_label
_atom_site_type_symbol
_atom_site_fract_x
_atom_site_fract_y
_atom_site_fract_z
Ca1 Ca 0.125 0.125 0.125
Ca2 Ca 0.125 0.125 0.625
Ca3 Ca 0.125 0.625 0.125
Ca4 Ca 0.625 0.125 0.125
In1 In 0.500 0.500 0.500
Co1 Co 0.750 0.750 0.750
```

---

Entry 4:
CaIn3Co | PBE | relaxed

## Properties
SG = No. 221
excess energy over the best structure of this formula in the dataset = 0.0 meV/atom
magnetization = 0.0 μB per formula unit
total energy = -3.604 eV/atom

Geometry as CIF:
```
data_CaIn3Co
_cell_length_a 4.963
_cell_length_b 4.963
_cell_length_c 4.963
_cell_angle_alpha 90.00
_cell_angle_beta 90.00
_cell_angle_gamma 90.00
_space_group_name_H-M_alt 'P 1'
_space_group_IT_number 1
_space_group_name_Hall 'P 1'
loop_
_atom_site_label
_atom_site_type_symbol
_atom_site_fract_x
_atom_site_fract_y
_atom_site_fract_z
Ca1 Ca 0.000 0.000 0.000
In1 In 0.000 0.500 0.500
In2 In 0.500 0.000 0.500
In3 In 0.500 0.500 0.000
Co1 Co 0.500 0.500 0.500
```

---

Entry 5:
CaIn4Co | PBE | relaxed

## Properties
SG = No. 216
magnetization = 1.8 μB per formula unit
total energy = -3.058 eV/atom

Geometry as CIF:
```
data_CaIn4Co
_cell_length_a 5.965
_cell_length_b 5.965
_cell_length_c 5.965
_cell_angle_alpha 60.00
_cell_angle_beta 60.00
_cell_angle_gamma 60.00
_space_group_name_H-M_alt 'P 1'
_space_group_IT_number 1
_space_group_name_Hall 'P 1'
loop_
_atom_site_label
_atom_site_type_symbol
_atom_site_fract_x
_atom_site_fract_y
_atom_site_fract_z
Ca1 Ca 0.000 0.000 0.000
In1 In 0.375 0.375 0.375
In2 In 0.375 0.375 0.874
In3 In 0.375 0.874 0.375
In4 In 0.874 0.375 0.375
Co1 Co 0.750 0.750 0.750
```

---

Entry 6:
CaIn6Co | PBE | relaxed

## Properties
SG = No. 38
magnetization = 0.0 μB per formula unit
total energy = -3.212 eV/atom

Geometry as CIF:
```
data_CaIn6Co
_cell_length_a 4.229
_cell_length_b 6.808
_cell_length_c 6.808
_cell_angle_alpha 79.92
_cell_angle_beta 90.00
_cell_angle_gamma 90.00
_space_group_name_H-M_alt 'P 1'
_space_group_IT_number 1
_space_group_name_Hall 'P 1'
loop_
_atom_site_label
_atom_site_type_symbol
_atom_site_fract_x
_atom_site_fract_y
_atom_site_fract_z
Ca1 Ca 0.000 0.000 0.000
In1 In 0.000 0.006 0.491
In2 In 0.000 0.491 0.006
In3 In 0.500 0.237 0.237
In4 In 0.500 0.318 0.682
In5 In 0.500 0.682 0.318
In6 In 0.500 0.771 0.771
Co1 Co 0.000 0.614 0.614
```

---

Entry 7:
CaIn3Co | PBE | relaxed

## Properties
SG = No. 221
excess energy over the best structure of this formula in the dataset = 1409.8 meV/atom
magnetization = 2.2 μB per formula unit
total energy = -2.194 eV/atom

Geometry as CIF:
```
data_CaIn3Co
_cell_length_a 5.831
_cell_length_b 5.831
_cell_length_c 5.831
_cell_angle_alpha 90.00
_cell_angle_beta 90.00
_cell_angle_gamma 90.00
_space_group_name_H-M_alt 'P 1'
_space_group_IT_number 1
_space_group_name_Hall 'P 1'
loop_
_atom_site_label
_atom_site_type_symbol
_atom_site_fract_x
_atom_site_fract_y
_atom_site_fract_z
Ca1 Ca 0.000 0.000 0.000
In1 In 0.000 0.000 0.500
In2 In 0.000 0.500 0.000
In3 In 0.500 0.000 0.000
Co1 Co 0.500 0.500 0.500
```

---

Entry 8:
Ca3InCo | PBE | relaxed

## Properties
SG = No. 221
excess energy over the best structure of this formula in the dataset = 0.0 meV/atom
magnetization = 0.0 μB per formula unit
total energy = -3.095 eV/atom

Geometry as CIF:
```
data_Ca3InCo
_cell_length_a 5.331
_cell_length_b 5.331
_cell_length_c 5.331
_cell_angle_alpha 90.00
_cell_angle_beta 90.00
_cell_angle_gamma 90.00
_space_group_name_H-M_alt 'P 1'
_space_group_IT_number 1
_space_group_name_Hall 'P 1'
loop_
_atom_site_label
_atom_site_type_symbol
_atom_site_fract_x
_atom_site_fract_y
_atom_site_fract_z
Ca1 Ca 0.000 0.000 0.500
Ca2 Ca 0.000 0.500 0.000
Ca3 Ca 0.500 0.000 0.000
In1 In 0.500 0.500 0.500
Co1 Co 0.000 0.000 0.000
```